# SrTmMo2O8

Crystalline SrTmMo2O8 at its relaxed geometry (GGA+U, Alexandria via LeMat-Bulk).

Summary:
The value obtained for the total moment is 1.00 Bohr magnetons per cell. For the raw total energy, the calculation gives -7.268 eV/atom. Its space group is I-4m2 (119).

Lattice parameters (Å, degrees): 6.2852 6.2852 6.2852 106.09 106.09 116.47
Last column: magnetic moment on the atom in μB.
Element x y z (fractional)
1 O 0.9463 0.6234 0.6771  0.00
2 O 0.3386 0.1472 0.8086  0.00
3 O 0.9463 0.2692 0.3229  0.00
4 O 0.8528 0.6614 0.1914  0.00
5 O 0.3766 0.0537 0.3229  0.00
6 O 0.7308 0.0537 0.6771  0.00
7 O 0.4700 0.6614 0.8086  0.00
8 O 0.3386 0.5300 0.1914  0.00
9 Sr 0.0000 0.0000 0.0000  0.01
10 Mo 0.7500 0.2500 0.5000  0.89
11 Mo 0.5000 0.5000 0.0000  0.01
12 Tm 0.2500 0.7500 0.5000  0.04